First-principles (GGA-PBE) data for an optimized crystal structure of GdErLu, as listed in OQMD.

The structure in POSCAR format:
```
GdErLu
1.0
0.000 3.791 3.791
3.791 0.000 3.791
3.791 3.791 0.000
Gd Er Lu
1 1 1
direct
0.000 0.000 0.000 Gd
0.500 0.500 0.500 Er
0.750 0.750 0.750 Lu
```

Distance to the lowest polymorph of the same formula, meV/atom: 0.0
Magnetic moment, μB/f.u.: 0.02
Energy of formation from the pure elements, eV per atom: 0.713
Space group: F-43m, No. 216

---

First-principles (GGA-PBE) data for an optimized crystal structure of NbMoS4, as listed in OQMD.

The structure in POSCAR format:
```
NbMoS4
1.0
3.266 0.000 0.000
-1.633 2.829 0.000
0.000 0.000 12.775
Nb Mo S
1 1 4
direct
0.000 0.000 0.000 Nb
0.000 0.000 0.500 Mo
0.333 0.667 0.125 S
0.333 0.667 0.875 S
0.667 0.333 0.380 S
0.667 0.333 0.620 S
```

Distance to the lowest polymorph of the same formula, meV/atom: 6.5
Magnetic moment, μB/f.u.: 0.01
Space group: P-6m2, No. 187

---

First-principles (GGA-PBE) data for an optimized crystal structure of NdHoAl, as listed in OQMD.

The structure in POSCAR format:
```
NdHoAl
1.0
0.000 3.591 3.591
3.591 0.000 3.591
3.591 3.591 0.000
Nd Ho Al
1 1 1
direct
0.000 0.000 0.000 Nd
0.750 0.750 0.750 Ho
0.500 0.500 0.500 Al
```

Magnetic moment, μB/f.u.: 0.87
Calculated total energy, eV/f.u.: -11.6
Space group: F-43m, No. 216

---

First-principles (GGA-PBE) data for an optimized crystal structure of PaTePO, as listed in OQMD.

The structure in POSCAR format:
```
PaTePO
1.0
4.037 0.000 0.000
0.000 7.234 0.000
0.000 0.000 6.311
Pa Te P O
2 2 2 2
direct
0.000 0.197 0.000 Pa
0.000 0.803 0.500 Pa
0.500 0.395 0.627 Te
0.500 0.605 0.127 Te
0.000 0.209 0.480 P
0.000 0.791 0.980 P
0.500 0.112 0.074 O
0.500 0.888 0.574 O
```

Distance to the lowest polymorph of the same formula, meV/atom: 0.0
Magnetic moment, μB/f.u.: 1.02
Space group: Pmc2_1, No. 26

---

First-principles (GGA-PBE) data for an optimized crystal structure of HfNiAu, as listed in OQMD.

The structure in POSCAR format:
```
HfNiAu
1.0
0.000 3.019 3.019
3.019 0.000 3.019
3.019 3.019 0.000
Hf Ni Au
1 1 1
direct
0.000 0.000 0.000 Hf
0.750 0.750 0.750 Ni
0.500 0.500 0.500 Au
```

Distance to the lowest polymorph of the same formula, meV/atom: 0.0
Magnetic moment, μB/f.u.: 0.00
Energy of formation from the pure elements, eV per atom: -0.264
Space group: F-43m, No. 216

---

First-principles (GGA-PBE) data for an optimized crystal structure of Gd2HoCu4Ge4, as listed in OQMD.

The structure in POSCAR format:
```
Gd2HoCu4Ge4
1.0
-2.115 3.326 7.002
2.115 -3.326 7.002
2.115 3.326 -7.002
Gd Ho Cu Ge
2 1 4 4
direct
0.131 0.131 0.000 Gd
0.869 0.869 0.000 Gd
0.500 0.000 0.500 Ho
0.142 0.331 0.811 Cu
0.479 0.669 0.811 Cu
0.521 0.331 0.189 Cu
0.858 0.669 0.189 Cu
0.193 0.500 0.693 Ge
0.284 0.784 0.500 Ge
0.716 0.216 0.500 Ge
0.807 0.500 0.307 Ge
```

Magnetic moment, μB/f.u.: 0.00
Calculated total energy, eV/f.u.: -54.2
Space group: Immm, No. 71

---

First-principles (GGA-PBE) data for an optimized crystal structure of CoNiAgPb, as listed in OQMD.

The structure in POSCAR format:
```
CoNiAgPb
1.0
0.000 3.153 3.153
3.153 0.000 3.153
3.153 3.153 0.000
Co Ni Ag Pb
1 1 1 1
direct
0.000 0.000 0.000 Co
0.500 0.500 0.500 Ni
0.250 0.250 0.250 Ag
0.750 0.750 0.750 Pb
```

Distance to the lowest polymorph of the same formula, meV/atom: 0.0
Magnetic moment, μB/f.u.: 1.01
Space group: F-43m, No. 216

---

First-principles (GGA-PBE) data for an optimized crystal structure of TlCuTcTe2S, as listed in OQMD.

The structure in POSCAR format:
```
TlCuTcTe2S
1.0
1.891 -7.696 0.000
1.891 7.696 0.000
0.000 0.000 9.586
Tl Cu Tc Te S
2 2 2 4 2
direct
0.232 0.768 0.750 Tl
0.768 0.232 0.250 Tl
0.018 0.982 0.250 Cu
0.982 0.018 0.750 Cu
0.500 0.500 0.000 Tc
0.500 0.500 0.500 Tc
0.127 0.873 0.048 Te
0.127 0.873 0.452 Te
0.873 0.127 0.548 Te
0.873 0.127 0.952 Te
0.438 0.562 0.250 S
0.562 0.438 0.750 S
```

Magnetic moment, μB/f.u.: 1.29
Calculated total energy, eV/f.u.: -27.3
Space group: Cmcm, No. 63

---

First-principles (GGA-PBE) data for an optimized crystal structure of Cu3Ag, as listed in OQMD.

The structure in POSCAR format:
```
Cu3Ag
1.0
3.789 -3.830 0.000
3.789 3.830 0.000
0.000 0.000 3.707
Cu Ag
6 2
direct
0.114 0.886 0.750 Cu
0.121 0.365 0.750 Cu
0.365 0.121 0.250 Cu
0.635 0.879 0.750 Cu
0.879 0.635 0.250 Cu
0.886 0.114 0.250 Cu
0.366 0.634 0.250 Ag
0.634 0.366 0.750 Ag
```

Energy of formation from the pure elements, eV per atom: 0.078
Space group: Cmcm, No. 63

---

First-principles (GGA-PBE) data for an optimized crystal structure of Tb3SnSe2, as listed in OQMD.

The structure in POSCAR format:
```
Tb3SnSe2
1.0
3.648 -6.315 0.000
3.648 6.315 0.000
-2.433 0.000 6.877
Tb Sn Se
6 2 4
direct
0.000 0.500 0.000 Tb
0.155 0.327 0.497 Tb
0.327 0.155 0.997 Tb
0.500 0.000 0.500 Tb
0.673 0.845 0.003 Tb
0.845 0.673 0.503 Tb
0.419 0.581 0.250 Sn
0.581 0.419 0.750 Sn
0.084 0.916 0.250 Se
0.252 0.748 0.750 Se
0.748 0.252 0.250 Se
0.916 0.084 0.750 Se
```

Magnetic moment, μB/f.u.: 0.00
Calculated total energy, eV/f.u.: -33.6
Space group: C2/c, No. 15

---

First-principles (GGA-PBE) data for an optimized crystal structure of Be2NbFe, as listed in OQMD.

The structure in POSCAR format:
```
Be2NbFe
1.0
0.000 2.835 2.835
2.835 0.000 2.835
2.835 2.835 0.000
Be Nb Fe
2 1 1
direct
0.000 0.000 0.000 Be
0.250 0.250 0.250 Be
0.500 0.500 0.500 Nb
0.750 0.750 0.750 Fe
```

Magnetic moment, μB/f.u.: 0.82
Calculated total energy, eV/f.u.: -26.0
Space group: F-43m, No. 216

---

First-principles (GGA-PBE) data for an optimized crystal structure of TmHBrCl, as listed in OQMD.

The structure in POSCAR format:
```
TmHBrCl
1.0
3.725 0.000 0.000
-1.862 3.226 0.000
0.000 0.000 14.257
Tm H Br Cl
2 2 2 2
direct
0.000 0.000 0.245 Tm
0.000 0.000 0.755 Tm
0.333 0.667 0.248 H
0.667 0.333 0.752 H
0.333 0.667 0.620 Br
0.667 0.333 0.380 Br
0.333 0.667 0.876 Cl
0.667 0.333 0.124 Cl
```

Distance to the lowest polymorph of the same formula, meV/atom: 2.0
Magnetic moment, μB/f.u.: 0.00
Space group: P-3m1, No. 164